Pr2Hg3Rh: relaxed, PBE.

a b c (Å): 3.6619 4.9718 8.4118
angles (deg): 90.00 90.00 90.00
Space group Pmm2 (No. 25)
Unique sites:
Pr: 0.0000 0.0000 0.0000 [1 per cell]
Pr: 0.0000 0.5000 0.4260 [1 per cell]
Hg: 0.5000 0.0000 0.6033 [1 per cell]
Hg: 0.5000 0.5000 0.1194 [1 per cell]
Hg: 0.5000 0.5000 0.7786 [1 per cell]
Rh: 0.5000 0.0000 0.2715 [1 per cell]

Computed properties:
Magnetic moment, μB/f.u.: 0.0
E_form, eV/atom: -0.455
E, Ha/atom: -0.1258

=====

TlCd2Au: relaxed, PBE.

a b c (Å): 7.1898 7.1898 7.1898
angles (deg): 90.00 90.00 90.00
Space group Fm-3m (No. 225)
Unique sites:
Tl: 0.0000 0.0000 0.0000 [4 per cell]
Cd: 0.2500 0.2500 0.2500 [8 per cell]
Au: 0.0000 0.0000 0.5000 [4 per cell]

Computed properties:
Magnetic moment, μB/f.u.: 0.0
Energy above the lowest structure with this stoichiometry, eV per atom: 0.115
E_form, eV/atom: 0.023
E, Ha/atom: -0.0678

=====

BaCd2Pd4Pb: relaxed, PBE.

a b c (Å): 4.6659 4.6659 28.7871
angles (deg): 90.00 90.00 120.00
Space group R-3m (No. 166, hexagonal axes)
Unique sites:
Ba: 0.0000 0.0000 0.0000 [3 per cell]
Cd: 0.0000 0.0000 0.2409 [6 per cell]
Pd: 0.0000 0.0000 0.1262 [6 per cell]
Pd: 0.0000 0.0000 0.4053 [6 per cell]
Pb: 0.0000 0.0000 0.5000 [3 per cell]

Computed properties:
Magnetic moment, μB/f.u.: 0.0
E_form, eV/atom: -0.339
E, Ha/atom: -0.1422

=====

K2Tl3MoSe6: relaxed, PBE.

a b c (Å): 7.6660 14.0528 7.2812
angles (deg): 90.00 111.87 90.00
Space group C2/m (No. 12)
Unique sites:
K: 0.0000 0.1753 0.0000 [4 per cell]
Tl: 0.0000 0.0000 0.5000 [2 per cell]
Tl: 0.0000 0.3590 0.5000 [4 per cell]
Mo: 0.0000 0.5000 0.0000 [2 per cell]
Se: 0.2091 0.3726 0.2260 [8 per cell]
Se: 0.2125 0.5000 0.7917 [4 per cell]

Computed properties:
Magnetic moment, μB/f.u.: 0.1
E, Ha/atom: -0.1454
ΔE_f (raw), kJ per mole of atoms: -52

=====

Question: Look up the E of the second one.
Answer: -0.0678 Ha/atom

=====

Question: What is the magnetic moment in the second record?
Answer: 0.0 μB/f.u.